#w
K3MnBr6 after structural relaxation. Source: the Alexandria database, functional PBE-GGA.

a b c (Å): 7.553 8.380 10.964
angles (deg): 90.00 90.14 90.00
Atoms (fractional coordinates):
Mn (0.500, 0.500, 0.500)
Mn (0.000, 0.000, 0.000)
Br (0.887, 0.964, 0.789)
Br (0.728, 0.153, 0.049)
Br (0.113, 0.036, 0.211)
Br (0.167, 0.287, 0.931)
Br (0.613, 0.464, 0.711)
Br (0.772, 0.653, 0.451)
Br (0.667, 0.213, 0.431)
Br (0.228, 0.347, 0.549)
Br (0.833, 0.713, 0.069)
Br (0.387, 0.536, 0.289)
Br (0.272, 0.847, 0.951)
Br (0.333, 0.787, 0.569)
K (0.963, 0.410, 0.242)
K (0.000, 0.000, 0.500)
K (0.537, 0.910, 0.258)
K (0.037, 0.590, 0.758)
K (0.463, 0.090, 0.742)
K (0.500, 0.500, 0.000)



#x
K3MnBr6 after structural relaxation. Source: the Alexandria database, functional PBE-GGA.

a b c (Å): 9.078 9.078 9.078
angles (deg): 90.64 90.64 90.64
Atoms (fractional coordinates):
K (0.922, 0.754, 0.431)
K (0.246, 0.569, 0.078)
K (0.754, 0.431, 0.922)
K (0.078, 0.246, 0.569)
K (0.569, 0.078, 0.246)
K (0.431, 0.922, 0.754)
Br (0.733, 0.061, 0.920)
Br (0.775, 0.452, 0.560)
Br (0.440, 0.225, 0.548)
Br (0.225, 0.548, 0.440)
Br (0.920, 0.733, 0.061)
Br (0.560, 0.775, 0.452)
Br (0.548, 0.440, 0.225)
Br (0.061, 0.920, 0.733)
Br (0.939, 0.080, 0.267)
Br (0.080, 0.267, 0.939)
Br (0.452, 0.560, 0.775)
Br (0.267, 0.939, 0.080)
Mn (0.000, 0.000, 0.000)
Mn (0.500, 0.500, 0.500)



Ranked by calculated energy, most stable first: #w, #x.